TlPbF2 | PBE-GGA | optimized geometry

Cell: 10.602 6.061 5.804 Å, 90.00 91.57 90.00°
Space group P2_1/c (No. 14)
Unique sites:
1 Tl 0.065 0.122 0.248
2 Pb 0.359 0.534 0.216
3 F 0.279 0.615 0.833
4 F 0.490 0.248 0.482

Density of states at the Fermi level, states/eV per atom: 0.1729
ΔE_f (raw), eV per atom: -1.662
Crystal system: monoclinic
Magnetization, μB per cell: 0.0
Volume, Å³ per cell: 372.80
Energy relative to the lowest polymorph listed for this composition, kJ/mol of atoms: 0.0